No. 1
A plane-wave DFT calculation with PBE-GGA was carried out for NdP2 after structural relaxation.

a b c (Å): 3.861 3.861 17.197
angles (deg): 90.00 90.00 87.63
Sites, in units of the cell vectors:
Nd 0.384 0.616 0.113
Nd 0.884 0.116 0.387
Nd 0.116 0.884 0.613
Nd 0.616 0.384 0.887
P 0.890 0.110 0.053
P 0.388 0.112 0.250
P 0.888 0.612 0.250
P 0.390 0.610 0.447
P 0.610 0.390 0.553
P 0.112 0.388 0.750
P 0.612 0.888 0.750
P 0.110 0.890 0.947

Summary:
volume	256	Å³ per cell
VASP energy	-73.5	eV per cell
size of the total moment	0.0	Bohr magnetons per cell
space group	Cmce

No. 2
A plane-wave DFT calculation with PBE-GGA was carried out for Pr3MgIn2Pt2Au after structural relaxation.

a b c (Å): 4.110 7.790 7.790
angles (deg): 120.26 90.00 90.00
Sites, in units of the cell vectors:
Au 0.500 0.017 0.017
In 0.000 0.998 0.747
In 0.000 0.747 0.998
Mg 0.000 0.253 0.253
Pr 0.500 0.996 0.414
Pr 0.500 0.587 0.587
Pr 0.500 0.414 0.996
Pt 0.000 0.658 0.330
Pt 0.000 0.330 0.658

Summary:
volume	215	Å³ per cell
VASP energy	-44.4	eV per cell
size of the total moment	0.0	Bohr magnetons per cell
space group	Amm2

No. 3
A plane-wave DFT calculation with PBE-GGA was carried out for LiBMo2 after structural relaxation.

a b c (Å): 4.156 4.156 4.156
angles (deg): 60.00 60.00 60.00
Sites, in units of the cell vectors:
B 0.500 0.500 0.500
Li 0.250 0.250 0.250
Mo 0.000 0.000 0.000
Mo 0.750 0.750 0.750

Summary:
volume	51	Å³ per cell
VASP energy	-28.1	eV per cell
size of the total moment	0.0	Bohr magnetons per cell
space group	F-43m

No. 4
A plane-wave DFT calculation with PBE-GGA was carried out for ScCuGeMo after structural relaxation.

a b c (Å): 4.465 4.465 4.465
angles (deg): 60.00 60.00 60.00
Sites, in units of the cell vectors:
Cu 0.750 0.750 0.750
Ge 0.000 0.000 0.000
Mo 0.250 0.250 0.250
Sc 0.500 0.500 0.500

Summary:
volume	63	Å³ per cell
ΔE to the lowest computed polymorph	0.0	kJ per mole of atoms
size of the total moment	0.0	Bohr magnetons per cell
space group	F-43m

No. 5
A plane-wave DFT calculation with PBE-GGA was carried out for Cu2Ag3 after structural relaxation.

a b c (Å): 6.116 6.116 9.342
angles (deg): 100.20 100.20 26.96
Sites, in units of the cell vectors:
Ag 0.692 0.692 0.090
Ag 0.401 0.401 0.184
Ag 0.098 0.098 0.311
Ag 0.814 0.814 0.406
Ag 0.204 0.204 0.609
Ag 0.592 0.592 0.801
Cu 0.501 0.501 0.515
Cu 0.900 0.900 0.705
Cu 0.309 0.309 0.892
Cu 0.988 0.988 0.987

Summary:
volume	156	Å³ per cell
calculated formation energy	0.086	eV per atom
ΔE to the lowest computed polymorph	5.2	kJ per mole of atoms
space group	Cm

No. 6
A plane-wave DFT calculation with PBE-GGA was carried out for KCdNO after structural relaxation.

a b c (Å): 4.632 4.632 7.146
angles (deg): 90.00 90.00 90.00
Sites, in units of the cell vectors:
Cd 0.500 0.000 0.058
Cd 0.000 0.500 0.942
K 0.000 0.000 0.500
K 0.500 0.500 0.500
N 0.500 0.000 0.362
N 0.000 0.500 0.638
O 0.000 0.000 0.000
O 0.500 0.500 0.000

Summary:
volume	153	Å³ per cell
ΔE to the lowest computed polymorph	28.4	kJ per mole of atoms
space group	P4/nmm

No. 7
A plane-wave DFT calculation with PBE-GGA was carried out for LaCuTeOs after structural relaxation.

a b c (Å): 4.949 4.949 4.949
angles (deg): 60.00 60.00 60.00
Sites, in units of the cell vectors:
Cu 0.750 0.750 0.750
La 0.250 0.250 0.250
Os 0.000 0.000 0.000
Te 0.500 0.500 0.500

Summary:
volume	86	Å³ per cell
ΔE to the lowest computed polymorph	29.1	kJ per mole of atoms
size of the total moment	0.0	Bohr magnetons per cell
space group	F-43m

No. 8
A plane-wave DFT calculation with PBE-GGA was carried out for NbTcW after structural relaxation.

a b c (Å): 4.323 4.323 4.323
angles (deg): 60.00 60.00 60.00
Sites, in units of the cell vectors:
Nb 0.250 0.250 0.250
Tc 0.000 0.000 0.000
W 0.750 0.750 0.750

Summary:
volume	57	Å³ per cell
calculated formation energy	0.595	eV per atom
ΔE to the lowest computed polymorph	0.0	kJ per mole of atoms
size of the total moment	0.0	Bohr magnetons per cell
space group	F-43m

No. 9
A plane-wave DFT calculation with PBE-GGA was carried out for TaSbPO after structural relaxation.

a b c (Å): 3.394 6.545 7.694
angles (deg): 90.00 90.00 90.00
Sites, in units of the cell vectors:
O 0.000 0.720 0.420
O 0.000 0.280 0.920
P 0.500 0.292 0.296
P 0.500 0.708 0.796
Sb 0.000 0.775 0.051
Sb 0.000 0.225 0.551
Ta 0.500 0.600 0.487
Ta 0.500 0.400 0.987

Summary:
volume	171	Å³ per cell
ΔE to the lowest computed polymorph	0.0	kJ per mole of atoms
size of the total moment	0.0	Bohr magnetons per cell
space group	Pmc2_1

No. 10
A plane-wave DFT calculation with PBE-GGA was carried out for TmZn2O4 after structural relaxation.

a b c (Å): 6.221 6.221 6.221
angles (deg): 120.00 90.00 120.00
Each line ends with the local moment (μB).
Sites, in units of the cell vectors:
O 0.162 0.775 0.387  0.21
O 0.613 0.225 0.387  0.15
O 0.613 0.775 0.387  0.22
O 0.137 0.275 0.412  0.16
O 0.613 0.225 0.838  0.16
O 0.137 0.725 0.863  0.22
O 0.137 0.275 0.863  0.15
O 0.588 0.725 0.863  0.21
Tm 0.000 0.000 0.000  -0.01
Tm 0.750 0.500 0.250  -0.01
Zn 0.375 0.750 0.125  0.10
Zn 0.375 0.750 0.625  0.10
Zn 0.375 0.250 0.625  0.05
Zn 0.875 0.250 0.625  0.06

Summary:
volume	170	Å³ per cell
VASP energy	-79.7	eV per cell
size of the total moment	2.0	Bohr magnetons per cell
space group	Fd-3m

No. 11
A plane-wave DFT calculation with PBE-GGA was carried out for ZrPdPt2 after structural relaxation.

a b c (Å): 4.581 4.581 4.581
angles (deg): 60.00 60.00 60.00
Sites, in units of the cell vectors:
Pd 0.500 0.500 0.500
Pt 0.000 0.000 0.000
Pt 0.750 0.750 0.750
Zr 0.250 0.250 0.250

Summary:
volume	68	Å³ per cell
calculated formation energy	-0.708	eV per atom
size of the total moment	0.0	Bohr magnetons per cell
space group	F-43m

No. 12
A plane-wave DFT calculation with PBE-GGA was carried out for PrDy2 after structural relaxation.

a b c (Å): 6.639 6.639 6.639
angles (deg): 60.00 60.00 60.00
Each line ends with the local moment (μB).
Sites, in units of the cell vectors:
Dy 0.625 0.625 0.125  0.12
Dy 0.625 0.125 0.625  0.14
Dy 0.125 0.625 0.625  0.20
Dy 0.625 0.625 0.625  0.14
Pr 0.000 0.000 0.000  0.30
Pr 0.250 0.250 0.250  0.30

Summary:
volume	207	Å³ per cell
calculated formation energy	0.277	eV per atom
size of the total moment	2.3	Bohr magnetons per cell
space group	Fd-3m